# 1
The following is a DFT calculation (PBE-GGA) of Rb2Y2Te2Se after structural relaxation.

Calculated values
For the density of states at the Fermi level, the calculation gives 10.4 states/eV/cell. The value obtained for the uncorrected formation energy is -1.156 eV/atom. As for the total energy: -32.72 eV per formula unit.

Unit cell a=5.4320 b=5.4320 c=18.2452 alpha=90.00 beta=90.00 gamma=90.00
Last column: nearest neighbours and their distance in Å.
Space group I4/mmm (No. 139)
Asymmetric unit:
Rb1 0.0000 0.0000 0.1855 x4  1 Se 3.38, 1 Te 3.77
Y1 0.0000 0.5000 0.0000 x4  2 Se 2.72
Te1 0.0000 0.0000 0.3922 x4  4 Y 3.35
Se1 0.0000 0.0000 0.0000 x2  4 Y 2.72

# 2
The following is a DFT calculation (PBE-GGA) of RbYTeSe after structural relaxation.

Calculated values
For the density of states at the Fermi level, the calculation gives 0.0 states/eV/cell. The value obtained for the uncorrected formation energy is -1.540 eV/atom. As for the total energy: -20.22 eV per formula unit.

Unit cell a=4.3540 b=4.3540 c=25.3283 alpha=90.00 beta=90.00 gamma=120.00
Last column: nearest neighbours and their distance in Å.
Space group R3m (No. 160, hexagonal axes)
Asymmetric unit:
Rb1 0.0000 0.0000 0.0000 x3  3 Se 3.57, 3 Te 3.61
Y1 0.0000 0.0000 0.1599 x3  3 Se 2.93, 3 Te 3.10
Te1 0.0000 0.0000 0.5646 x3  3 Y 3.10
Se1 0.0000 0.0000 0.7669 x3  3 Y 2.93

> Which value of total energy does entry 1 give?

-32.72 eV per formula unit

> The highest total energy belongs to which entry?

RbYTeSe